[1]
KPtCN2 | Alexandria via LeMat-Bulk | PBE-GGA | relaxed; D(E_F) = 10.174 states/eV/cell; uncorrected energy = -23.94 eV for the cell shown
1.0
-1.318 3.720 1.573
-3.741 -1.150 -0.414
0.068 -1.634 3.921
N C Pt K
2 1 1 1
direct
0.000 0.000 0.500
0.500 0.000 0.000
0.000 0.500 0.000
0.000 0.000 0.000
0.500 0.500 0.500



[2]
K2PtC4N4 | Alexandria via LeMat-Bulk | PBE-GGA | relaxed; D(E_F) = 0.000 states/eV/cell; uncorrected energy = -322.70 eV for the cell shown
1.0
7.454 0.000 0.000
0.000 9.123 0.000
0.000 0.000 13.775
N Pt K C
16 4 8 16
direct
0.062 0.416 0.687
0.094 0.669 0.973
0.062 0.084 0.813
0.594 0.831 0.973
0.906 0.331 0.027
0.438 0.584 0.187
0.094 0.831 0.527
0.938 0.584 0.313
0.562 0.416 0.813
0.906 0.169 0.473
0.594 0.669 0.527
0.562 0.084 0.687
0.438 0.916 0.313
0.938 0.916 0.187
0.406 0.331 0.473
0.406 0.169 0.027
0.923 0.250 0.250
0.423 0.250 0.250
0.577 0.750 0.750
0.077 0.750 0.750
0.703 0.150 0.898
0.797 0.850 0.398
0.203 0.350 0.898
0.203 0.150 0.602
0.797 0.650 0.102
0.703 0.350 0.602
0.297 0.850 0.102
0.297 0.650 0.398
0.571 0.540 0.789
0.071 0.960 0.789
0.584 0.698 0.610
0.416 0.302 0.390
0.429 0.040 0.289
0.584 0.802 0.890
0.084 0.698 0.890
0.084 0.802 0.610
0.071 0.540 0.711
0.429 0.460 0.211
0.929 0.040 0.211
0.571 0.960 0.711
0.929 0.460 0.289
0.916 0.198 0.390
0.416 0.198 0.110
0.916 0.302 0.110



Number 1: formation energy (no corrections) 1.815 eV per atom. Number 2: formation energy (no corrections) -0.204 eV per atom.